A plane-wave DFT calculation with meta-GGA SCAN was carried out for a crystal of FeHIN2 relaxed with PBEsol.

Values from the calculation:
**Space group**: P4/mmm (123)
**Theoretical density**: 6.48 g cm⁻³
**Energy**: -13.119 eV/atom

Unit cell a=3.503 b=3.937 c=3.937 alpha=90.00 beta=90.00 gamma=90.00
Last column: magnetic moment on the atom in μB.
Fractional coordinates of all 5 atoms:
N 0.000 0.000 0.500  -0.70
N 0.000 0.500 0.000  -0.70
I 0.500 0.000 0.000  -0.11
H 0.000 0.000 0.000  -0.02
Fe 0.500 0.500 0.500  3.28